1.
A relaxed structure of Al2MoAu. Source: Alexandria via LeMat-Bulk, functional PBE.

a b c (Å): 8.9898 8.9898 8.9898
angles (deg): 18.63 18.63 18.63
Last column: nearest neighbours and their distance in Å.
Positions (direct):
Al  0.2487  0.2487  0.2487  3 Mo 2.75, 3 Au 2.80, 6 Al 2.91
Al  0.7513  0.7513  0.7513  3 Mo 2.75, 3 Au 2.80, 6 Al 2.91
Mo  0.5000  0.5000  0.5000  6 Al 2.75, 6 Mo 2.91
Au  0.0000  0.0000  0.0000  6 Al 2.80, 6 Au 2.91

polymorph energy (0 for the lowest one)	178.9	meV per atom
volume	65	Å³/cell
formation energy	-0.121	eV per atom

***

2.
A relaxed structure of Al2MoAu. Source: Alexandria via LeMat-Bulk, functional PBE.

a b c (Å): 3.3604 3.3604 5.6824
angles (deg): 90.00 90.00 90.00
Last column: nearest neighbours and their distance in Å.
Positions (direct):
Al  0.0000  0.0000  0.0000  4 Mo 2.66, 2 Au 2.78-2.91, 4 Al 2.82
Al  0.5000  0.5000  0.2685  4 Au 2.69, 2 Mo 2.71-2.97, 4 Al 2.82
Mo  0.5000  0.5000  0.7909  6 Al 2.66-2.97, 4 Au 2.93
Au  0.0000  0.0000  0.4886  6 Al 2.69-2.91, 4 Mo 2.93

polymorph energy (0 for the lowest one)	217.5	meV per atom
volume	64	Å³/cell
formation energy	-0.082	eV per atom

***

3.
A relaxed structure of Al2MoAu. Source: Alexandria via LeMat-Bulk, functional PBE.

a b c (Å): 2.8414 2.8414 8.2298
angles (deg): 90.00 90.00 105.27
Last column: nearest neighbours and their distance in Å.
Positions (direct):
Al  0.0000  0.0000  0.2428  2 Mo 2.64, 2 Au 2.73, 4 Al 2.84
Al  0.0000  0.0000  0.7572  2 Mo 2.64, 2 Au 2.73, 4 Al 2.84
Mo  0.5000  0.5000  0.0000  4 Al 2.64, 4 Mo 2.84
Au  0.5000  0.5000  0.5000  4 Al 2.73, 4 Au 2.84

polymorph energy (0 for the lowest one)	158.5	meV per atom
volume	64	Å³/cell
formation energy	-0.141	eV per atom

***

4.
A relaxed structure of AlMo2Au. Source: Alexandria via LeMat-Bulk, functional PBE.

a b c (Å): 3.2776 3.2776 6.0431
angles (deg): 90.00 90.00 90.00
Last column: nearest neighbours and their distance in Å.
Positions (direct):
Al  0.0000  0.0000  0.0000  4 Au 2.69, 5 Mo 2.81-2.82
Mo  0.0000  0.0000  0.5335  4 Mo 2.62, 1 Al 2.82
Mo  0.5000  0.5000  0.7367  4 Mo 2.62, 4 Al 2.81
Au  0.5000  0.5000  0.2257  4 Al 2.69, 5 Mo 2.95-2.97

volume	65	Å³/cell
formation energy	-0.068	eV per atom

***

Q: What is the volume in the second record?
A: 64 Å³/cell

***

Q: Which of these has the lowest formation energy?
A: number 3